Record 1
Entry from Alexandria via LeMat-Bulk: an optimized crystal structure of InFe5 (GGA-PBE).

Geometry as POSCAR:
```
InFe5
1.0
0.000 3.397 3.397
3.397 0.000 3.397
3.397 3.397 0.000
In Fe
1 5
direct
0.000 0.000 0.000 In
0.126 0.625 0.625 Fe
0.625 0.625 0.126 Fe
0.250 0.250 0.250 Fe
0.625 0.126 0.625 Fe
0.625 0.625 0.625 Fe
```

density of states at the Fermi level: 0.9761 states/eV per atom
volume: 78.38 Å³/cell

---

Record 2
Entry from Alexandria via LeMat-Bulk: an optimized crystal structure of InFe3 (GGA-PBE).

Geometry as POSCAR:
```
InFe3
1.0
4.897 -0.011 -0.014
2.035 4.454 0.014
-3.073 -2.834 2.550
Fe In
3 1
direct
0.000 0.500 0.500 Fe
0.766 0.766 0.000 Fe
0.234 0.234 0.000 Fe
0.500 0.000 0.500 In
```

density of states at the Fermi level: 0.5641 states/eV per atom
volume: 55.75 Å³/cell

---

Record 3
Entry from Alexandria via LeMat-Bulk: an optimized crystal structure of InFe5 (GGA-PBE).

Geometry as POSCAR:
```
InFe5
1.0
1.485 4.604 0.092
-1.485 4.604 0.092
0.000 1.818 5.782
Fe In
5 1
direct
0.633 0.633 0.243 Fe
0.978 0.978 0.535 Fe
0.306 0.306 0.389 Fe
0.983 0.983 0.076 Fe
0.628 0.628 0.702 Fe
0.306 0.306 0.889 In
```

density of states at the Fermi level: 0.9345 states/eV per atom
volume: 78.55 Å³/cell

---

Record 4
Entry from Alexandria via LeMat-Bulk: an optimized crystal structure of InFe (GGA-PBE).

Geometry as POSCAR:
```
InFe
1.0
-3.927 -5.030 0.536
-1.316 -6.136 1.277
-2.307 -1.367 6.086
Fe In
3 3
direct
0.970 0.970 0.004 Fe
0.567 0.567 0.164 Fe
0.643 0.643 0.768 Fe
0.285 0.285 0.953 In
0.044 0.044 0.533 In
0.324 0.324 0.411 In
```

density of states at the Fermi level: 0.5847 states/eV per atom
volume: 107.71 Å³/cell

---

Record 5
Entry from Alexandria via LeMat-Bulk: an optimized crystal structure of InFe (GGA-PBE).

Geometry as POSCAR:
```
InFe
1.0
3.798 0.000 0.000
1.899 3.290 0.000
1.899 1.097 3.101
Fe In
1 1
direct
0.000 0.000 0.000 Fe
0.500 0.500 0.500 In
```

density of states at the Fermi level: 1.0849 states/eV per atom
volume: 38.75 Å³/cell

---

Record 6
Entry from Alexandria via LeMat-Bulk: an optimized crystal structure of InFe (GGA-PBE).

Geometry as POSCAR:
```
InFe
1.0
3.089 0.000 0.000
-1.544 2.675 0.000
0.000 0.000 8.851
In Fe
2 2
direct
0.000 0.000 0.465 In
0.667 0.333 0.785 In
0.000 0.000 0.033 Fe
0.667 0.333 0.217 Fe
```

density of states at the Fermi level: 0.4768 states/eV per atom
volume: 73.12 Å³/cell

---

Record 7
Entry from Alexandria via LeMat-Bulk: an optimized crystal structure of InFe (GGA-PBE).

Geometry as POSCAR:
```
InFe
1.0
3.001 0.000 0.000
-1.501 2.599 0.000
0.000 0.000 4.387
Fe In
1 1
direct
0.000 0.000 0.000 Fe
0.667 0.333 0.500 In
```

density of states at the Fermi level: 0.9935 states/eV per atom
volume: 34.22 Å³/cell

---

Record 8
Entry from Alexandria via LeMat-Bulk: an optimized crystal structure of InFe (GGA-PBE).

Geometry as POSCAR:
```
InFe
1.0
1.522 5.236 -0.661
-1.522 5.236 -0.661
0.000 0.636 6.804
In Fe
3 3
direct
0.000 0.000 0.429 In
0.796 0.796 0.068 In
0.057 0.057 0.907 In
0.359 0.359 0.730 Fe
0.687 0.687 0.636 Fe
0.268 0.268 0.398 Fe
```

density of states at the Fermi level: 0.4470 states/eV per atom
volume: 109.72 Å³/cell

---

Record 9
Entry from Alexandria via LeMat-Bulk: an optimized crystal structure of InFe (GGA-PBE).

Geometry as POSCAR:
```
InFe
1.0
5.077 -0.008 0.000
2.007 4.664 0.000
-3.542 -2.328 2.795
In Fe
2 2
direct
0.750 0.250 0.500 In
0.500 0.500 0.000 In
0.000 0.000 0.000 Fe
0.250 0.750 0.500 Fe
```

density of states at the Fermi level: 0.7485 states/eV per atom
volume: 66.22 Å³/cell

---

Record 10
Entry from Alexandria via LeMat-Bulk: an optimized crystal structure of InFe5 (GGA-PBE).

Geometry as POSCAR:
```
InFe5
1.0
0.892 3.806 2.854
-3.827 -2.832 0.869
2.281 -2.343 2.412
Fe In
5 1
direct
0.667 0.333 0.000 Fe
0.500 0.500 0.500 Fe
0.333 0.667 0.000 Fe
0.500 0.000 0.500 Fe
0.000 0.500 0.500 Fe
0.000 0.000 0.000 In
```

density of states at the Fermi level: 0.9537 states/eV per atom
volume: 82.42 Å³/cell

---

Record 11
Entry from Alexandria via LeMat-Bulk: an optimized crystal structure of InFeIr (GGA-PBE).

Geometry as POSCAR:
```
InFeIr
1.0
5.725 -0.143 0.151
5.023 2.750 0.155
0.702 0.166 2.888
Ir In Fe
1 1 1
direct
0.653 0.653 0.347 Ir
0.335 0.335 0.665 In
0.012 0.012 0.988 Fe
```

density of states at the Fermi level: 0.9385 states/eV per atom
volume: 47.22 Å³/cell
offset from the most stable computed form: 0 meV per atom

---

Record 12
Entry from Alexandria via LeMat-Bulk: an optimized crystal structure of In3FeIr (GGA-PBE).

Geometry as POSCAR:
```
In3FeIr
1.0
5.145 0.000 0.000
0.000 5.145 0.000
0.000 0.000 5.145
In Fe Ir
3 1 1
direct
0.500 0.000 0.000 In
0.000 0.500 0.000 In
0.000 0.000 0.500 In
0.500 0.500 0.500 Fe
0.000 0.000 0.000 Ir
```

density of states at the Fermi level: 0.9252 states/eV per atom
volume: 136.19 Å³/cell
offset from the most stable computed form: 0 meV per atom

---

Record 13
Entry from Alexandria via LeMat-Bulk: an optimized crystal structure of InFe2Ir2 (GGA-PBE).

Geometry as POSCAR:
```
InFe2Ir2
1.0
-1.028 -5.809 -4.169
6.127 1.455 -3.538
1.402 -1.537 1.795
Ir Fe In
4 4 2
direct
0.675 0.825 0.500 Ir
0.825 0.325 0.500 Ir
0.175 0.675 0.500 Ir
0.325 0.175 0.500 Ir
0.617 0.117 0.000 Fe
0.883 0.617 0.000 Fe
0.383 0.883 0.000 Fe
0.117 0.383 0.000 Fe
0.500 0.500 0.000 In
0.000 0.000 0.000 In
```

density of states at the Fermi level: 1.1254 states/eV per atom
volume: 143.36 Å³/cell

---

The records above yield ΔH_f (0 K) values of 82.4, 65.2, 71.2, 38.0, 131.2, 67.6, 74.6, 44.4, 62.6, 122.8, 27.3, 268.3, 114.9 kJ/mol of formula units, respectively.